No. 1
RbReSb | PBE | optimized geometry

```
data_RbReSb
_cell_length_a 7.576
_cell_length_b 7.576
_cell_length_c 7.576
_cell_angle_alpha 90.00
_cell_angle_beta 90.00
_cell_angle_gamma 90.00
_symmetry_space_group_name_H-M 'F -4 3 m'
_symmetry_Int_Tables_number 216
_symmetry_space_group_name_Hall 'F -4 2 3'
loop_
_atom_site_label
_atom_site_type_symbol
_atom_site_fract_x
_atom_site_fract_y
_atom_site_fract_z
Rb1 Rb 0.000 0.000 0.000
Re1 Re 0.250 0.250 0.750
Sb1 Sb 0.250 0.250 0.250
```



No. 2
RbReSb | PBE | optimized geometry

```
data_RbReSb
_cell_length_a 6.794
_cell_length_b 6.794
_cell_length_c 6.794
_cell_angle_alpha 90.00
_cell_angle_beta 90.00
_cell_angle_gamma 90.00
_symmetry_space_group_name_H-M 'F -4 3 m'
_symmetry_Int_Tables_number 216
_symmetry_space_group_name_Hall 'F -4 2 3'
loop_
_atom_site_label
_atom_site_type_symbol
_atom_site_fract_x
_atom_site_fract_y
_atom_site_fract_z
Rb1 Rb 0.000 0.000 0.000
Re1 Re 0.250 0.250 0.250
Sb1 Sb 0.000 0.000 0.500
```



No. 3
RbRe3Se5 | PBE | optimized geometry

```
data_RbRe3Se5
_cell_length_a 5.8109
_cell_length_b 5.8109
_cell_length_c 7.4610
_cell_angle_alpha 90.00
_cell_angle_beta 90.00
_cell_angle_gamma 120.00
_symmetry_space_group_name_H-M 'P 6/m m m'
_symmetry_Int_Tables_number 191
_symmetry_space_group_name_Hall '-P 6 2'
loop_
_atom_site_label
_atom_site_type_symbol
_atom_site_fract_x
_atom_site_fract_y
_atom_site_fract_z
Rb1 Rb 0.0000 0.0000 0.0000
Re1 Re 0.0000 0.5000 0.5000
Se1 Se 0.0000 0.0000 0.5000
Se2 Se 0.3333 0.6667 0.2480
```



No. 4
RbRe3Si5 | PBE | optimized geometry

```
data_RbRe3Si5
_cell_length_a 5.2051
_cell_length_b 5.2051
_cell_length_c 8.9276
_cell_angle_alpha 90.00
_cell_angle_beta 90.00
_cell_angle_gamma 120.00
_symmetry_space_group_name_H-M 'P 6/m m m'
_symmetry_Int_Tables_number 191
_symmetry_space_group_name_Hall '-P 6 2'
loop_
_atom_site_label
_atom_site_type_symbol
_atom_site_fract_x
_atom_site_fract_y
_atom_site_fract_z
Rb1 Rb 0.0000 0.0000 0.0000
Re1 Re 0.0000 0.5000 0.5000
Si1 Si 0.0000 0.0000 0.5000
Si2 Si 0.3333 0.6667 0.2636
```



No. 5
RbSmRe | PBE | optimized geometry

```
data_RbSmRe
_cell_length_a 7.195
_cell_length_b 7.195
_cell_length_c 7.195
_cell_angle_alpha 90.00
_cell_angle_beta 90.00
_cell_angle_gamma 90.00
_symmetry_space_group_name_H-M 'F -4 3 m'
_symmetry_Int_Tables_number 216
_symmetry_space_group_name_Hall 'F -4 2 3'
loop_
_atom_site_label
_atom_site_type_symbol
_atom_site_fract_x
_atom_site_fract_y
_atom_site_fract_z
Rb1 Rb 0.000 0.000 0.000
Sm1 Sm 0.250 0.250 0.250
Re1 Re 0.000 0.000 0.500
```



No. 6
RbRe3Sn5 | PBE | optimized geometry

```
data_RbRe3Sn5
_cell_length_a 5.4806
_cell_length_b 5.4806
_cell_length_c 9.2306
_cell_angle_alpha 90.00
_cell_angle_beta 90.00
_cell_angle_gamma 120.00
_symmetry_space_group_name_H-M 'P 6/m m m'
_symmetry_Int_Tables_number 191
_symmetry_space_group_name_Hall '-P 6 2'
loop_
_atom_site_label
_atom_site_type_symbol
_atom_site_fract_x
_atom_site_fract_y
_atom_site_fract_z
Rb1 Rb 0.0000 0.0000 0.0000
Re1 Re 0.0000 0.5000 0.5000
Sn1 Sn 0.0000 0.0000 0.5000
Sn2 Sn 0.3333 0.6667 0.2395
```



No. 7
RbSrRe | PBE | optimized geometry

```
data_RbSrRe
_cell_length_a 7.814
_cell_length_b 7.814
_cell_length_c 7.814
_cell_angle_alpha 90.00
_cell_angle_beta 90.00
_cell_angle_gamma 90.00
_symmetry_space_group_name_H-M 'F -4 3 m'
_symmetry_Int_Tables_number 216
_symmetry_space_group_name_Hall 'F -4 2 3'
loop_
_atom_site_label
_atom_site_type_symbol
_atom_site_fract_x
_atom_site_fract_y
_atom_site_fract_z
Rb1 Rb 0.000 0.000 0.000
Sr1 Sr 0.000 0.000 0.500
Re1 Re 0.250 0.250 0.250
```



No. 8
RbSrRe | PBE | optimized geometry

```
data_RbSrRe
_cell_length_a 7.537
_cell_length_b 7.537
_cell_length_c 7.537
_cell_angle_alpha 90.00
_cell_angle_beta 90.00
_cell_angle_gamma 90.00
_symmetry_space_group_name_H-M 'F -4 3 m'
_symmetry_Int_Tables_number 216
_symmetry_space_group_name_Hall 'F -4 2 3'
loop_
_atom_site_label
_atom_site_type_symbol
_atom_site_fract_x
_atom_site_fract_y
_atom_site_fract_z
Rb1 Rb 0.000 0.000 0.000
Sr1 Sr 0.250 0.250 0.250
Re1 Re 0.250 0.250 0.750
```



Number 1: electronic total energy -3.4639 eV per atom. Number 2: electronic total energy -4.3743 eV per atom. Number 3: electronic total energy -6.2169 eV per atom. Number 4: electronic total energy -7.0056 eV per atom. Number 5: electronic total energy -4.0688 eV per atom. Number 6: electronic total energy -6.2860 eV per atom. Number 7: electronic total energy -3.1717 eV per atom. Number 8: electronic total energy -2.8540 eV per atom.